Entry 1:
CaOsAu2 | meta-GGA SCAN | single point on PBEsol structure

Total energy in eV/cell: -654.40
Energy relative to the lowest polymorph listed for this composition in meV/atom: 229
Volume in Å³ per atom: 17.5
ΔH_f (0 K) in meV/atom: 431

Lattice parameters (Å, degrees): 2.9183 2.9183 28.5440 90.00 90.00 120.00
Closest atoms and distances in Å follow each position.
Space group R3m (No. 160, hexagonal axes)
Unique sites:
Ca 0.0000 0.0000 0.0000 (multiplicity 3)  6 Ca 2.92, 3 Os 2.92, 3 Au 3.02
Os 0.0000 0.0000 0.2497 (multiplicity 3)  3 Au 2.80, 6 Os 2.92, 3 Ca 2.92
Au 0.0000 0.0000 0.5048 (multiplicity 3)  3 Os 2.80, 9 Au 2.92
Au 0.0000 0.0000 0.7545 (multiplicity 3)  9 Au 2.92, 3 Ca 3.02

=====

Entry 2:
CaOsAu2 | meta-GGA SCAN | single point on PBEsol structure

Total energy in eV/cell: -438.10
Energy relative to the lowest polymorph listed for this composition in meV/atom: 0
Volume in Å³ per atom: 17.7
ΔH_f (0 K) in meV/atom: 202

Lattice parameters (Å, degrees): 4.0330 4.0330 8.7199 90.00 90.00 90.00
Closest atoms and distances in Å follow each position.
Space group I-4m2 (No. 119)
Unique sites:
Ca 0.0000 0.0000 0.0000 (multiplicity 2)  8 Au 2.85-2.97, 4 Os 2.97
Os 0.0000 0.5000 0.2500 (multiplicity 2)  8 Au 2.85-2.97, 4 Ca 2.97
Au 0.0000 0.0000 0.5000 (multiplicity 2)  4 Ca 2.85, 4 Os 2.97, 4 Au 2.97
Au 0.0000 0.5000 0.7500 (multiplicity 2)  4 Os 2.85, 4 Ca 2.97, 4 Au 2.97

=====

Entry 3:
CaPAu2 | meta-GGA SCAN | single point on PBEsol structure

Total energy in eV/cell: -160.71
Volume in Å³ per atom: 19.7
ΔH_f (0 K) in meV/atom: -584

Lattice parameters (Å, degrees): 3.3695 4.3815 5.3508 90.00 90.00 90.00
Closest atoms and distances in Å follow each position.
Space group Pmmm (No. 47)
Unique sites:
Ca 0.0000 0.0000 0.0000 (multiplicity 1)  8 Au 3.07, 4 P 3.16, 2 Ca 3.37
P 0.5000 0.0000 0.5000 (multiplicity 1)  4 Au 2.57
Au 0.5000 0.5000 0.2488 (multiplicity 2)  2 P 2.57, 2 Au 2.66-2.69

=====

Entry 4:
CaPAu2 | meta-GGA SCAN | single point on PBEsol structure

Total energy in eV/cell: -322.89
Volume in Å³ per atom: 21.1
ΔH_f (0 K) in meV/atom: -767

Lattice parameters (Å, degrees): 9.9230 4.2882 4.2894 90.00 112.07 90.00
Closest atoms and distances in Å follow each position.
Space group Cm (No. 8)
Unique sites:
Ca 0.0000 0.0000 0.0000 (multiplicity 2)  4 P 3.04-3.25, 8 Au 3.23-3.33
P 0.2501 0.0000 0.7535 (multiplicity 2)  4 Au 2.34-2.35
Au 0.1482 0.5000 0.6295 (multiplicity 2)  2 P 2.34
Au 0.3534 0.0000 0.3417 (multiplicity 2)  2 P 2.34-2.35

=====

Entry 5:
CaPAu2 | meta-GGA SCAN | single point on PBEsol structure

Total energy in eV/cell: -320.70
Volume in Å³ per atom: 19.9
ΔH_f (0 K) in meV/atom: -494

Lattice parameters (Å, degrees): 4.5144 5.1869 6.7957 90.00 90.00 90.00
Closest atoms and distances in Å follow each position.
Space group Imm2 (No. 44)
Unique sites:
Ca 0.0000 0.0000 0.0000 (multiplicity 2)  4 P 2.87-3.13, 5 Au 2.97-3.00
P 0.0000 0.5000 0.1806 (multiplicity 2)  3 Au 2.40-2.68
Au 0.0000 0.0000 0.5585 (multiplicity 2)  2 P 2.40
Au 0.0000 0.5000 0.7868 (multiplicity 2)  1 P 2.68, 2 Au 2.92, 4 Ca 2.97-2.98

=====

Entry 6:
CaPAu2 | meta-GGA SCAN | single point on PBEsol structure

Total energy in eV/cell: -480.96
Volume in Å³ per atom: 20.5
ΔH_f (0 K) in meV/atom: -486

Lattice parameters (Å, degrees): 4.2760 4.2760 15.5009 90.00 90.00 120.00
Closest atoms and distances in Å follow each position.
Space group R-3m (No. 166, hexagonal axes)
Unique sites:
Ca 0.0000 0.0000 0.0000 (multiplicity 3)  8 Au 3.05-3.37
P 0.0000 0.0000 0.5000 (multiplicity 3)  6 Au 2.59
Au 0.0000 0.0000 0.2177 (multiplicity 6)  3 P 2.59